PBE-GGA Ce6S5Cl, relaxed; raw formation energy = -23.37 eV/f.u.; SG = C2/m
1.0
3.482 -6.028 0.000
3.482 6.028 0.000
-2.318 0.000 6.557
Ce S Cl
6 5 1
Cartesian
-0.021 2.050 4.890 Ce
1.114 0.000 1.665 Ce
-0.021 -2.050 4.890 Ce
4.667 2.050 1.667 Ce
3.532 0.000 4.893 Ce
4.667 -2.050 1.667 Ce
-1.159 0.000 3.279 S
3.482 4.016 0.000 S
2.323 1.991 3.279 S
2.323 -1.991 3.279 S
3.482 -4.016 0.000 S
3.482 0.000 0.000 Cl